[1]
The following is a DFT calculation (GGA-PBE) of a geometry-optimized CaNiTe structure.

Results
- E_form (uncorrected) (eV/f.u.) = -2.12
- uncorrected energy (eV/atom) = -4.35

a = 11.110 Å, b = 4.198 Å, c = 6.239 Å
α = 90.00°, β = 90.18°, γ = 90.00°
Space group Cm (No. 8)
Inequivalent atoms, fractional coordinates:
Ca (0.000, 0.000, 0.000)
Ca (0.242, 0.500, 0.457)
Ni (0.419, 0.000, 0.694)
Ni (0.432, 0.000, 0.313)
Te (0.023, 0.000, 0.504)
Te (0.285, 0.000, 0.010)

=====

[2]
The following is a DFT calculation (GGA-PBE) of a geometry-optimized CaNi3Te structure.

Results
- E_form (uncorrected) (eV/f.u.) = 6.14
- uncorrected energy (eV/atom) = -3.27

a = 4.616 Å, b = 4.616 Å, c = 4.616 Å
α = 90.00°, β = 90.00°, γ = 90.00°
Space group Pm-3m (No. 221)
Inequivalent atoms, fractional coordinates:
Ca (0.000, 0.000, 0.000)
Ni (0.000, 0.000, 0.500)
Te (0.500, 0.500, 0.500)

=====

[3]
The following is a DFT calculation (GGA-PBE) of a geometry-optimized Ca2TlNiTe structure.

Results
- E_form (uncorrected) (eV/f.u.) = -2.44
- uncorrected energy (eV/atom) = -3.55

a = 5.416 Å, b = 5.416 Å, c = 4.896 Å
α = 90.00°, β = 90.00°, γ = 90.00°
Space group P4/mmm (No. 123)
Inequivalent atoms, fractional coordinates:
Ca (0.000, 0.500, 0.000)
Tl (0.000, 0.000, 0.500)
Ni (0.000, 0.000, 0.000)
Te (0.500, 0.500, 0.500)